Entry 1:
# YMn2CoW

A relaxed structure of YMn2CoW (PBE, the Alexandria database).

The calculation puts the total magnetic moment at 1.018 μB per atom. Its calculated formation energy is 2.144 eV/atom. The space group is P4/mmm, No. 123.

Unit cell a=4.7030 b=4.3971 c=4.7030 alpha=90.00 beta=90.00 gamma=90.00
Site moments in Bohr magnetons follow the coordinates.
Fractional coordinates of all 5 atoms:
Y (0.0000, 0.0000, 0.0000)  0.13
Mn (0.0000, 0.0000, 0.5000)  -3.06
Mn (0.5000, 0.0000, 0.0000)  -3.52
Co (0.0000, 0.5000, 0.0000)  -0.79
W (0.5000, 0.5000, 0.5000)  1.87

---

Entry 2:
# YMnCo2

A relaxed structure of YMnCo2 (PBE, the Alexandria database).

The calculation puts the total magnetic moment at 1.860 μB per atom. Its calculated formation energy is 0.581 eV/atom. The space group is R3m, No. 160.

Unit cell a=8.7890 b=8.7890 c=8.7890 alpha=19.64 beta=19.64 gamma=19.64
Site moments in Bohr magnetons follow the coordinates.
Fractional coordinates of all 4 atoms:
Co (0.9857, 0.9857, 0.9857)  1.77
Co (0.2550, 0.2550, 0.2550)  1.90
Mn (0.5152, 0.5152, 0.5152)  3.62
Y (0.7441, 0.7441, 0.7441)  0.02

---

Entry 3:
# YMn2Co9

A relaxed structure of YMn2Co9 (PBE, the Alexandria database).

The calculation puts the total magnetic moment at 1.795 μB per atom. Its calculated formation energy is -0.015 eV/atom. The space group is R-3m, No. 166.

Unit cell a=4.8288 b=4.8288 c=8.2368 alpha=72.95 beta=72.95 gamma=60.00
Site moments in Bohr magnetons follow the coordinates.
Fractional coordinates of all 12 atoms:
Y (0.0000, 0.0000, 0.0000)  -0.21
Mn (0.8552, 0.8552, 0.4344)  3.59
Mn (0.1448, 0.1448, 0.5656)  3.59
Co (0.6640, 0.6640, 0.0081)  1.56
Co (0.3360, 0.3360, 0.9919)  1.56
Co (0.5000, 0.5000, 0.5000)  1.71
Co (0.4088, 0.4088, 0.2601)  1.63
Co (0.9223, 0.4088, 0.2601)  1.63
Co (0.4088, 0.9223, 0.2601)  1.63
Co (0.5912, 0.5912, 0.7399)  1.63
Co (0.5912, 0.0777, 0.7399)  1.63
Co (0.0777, 0.5912, 0.7399)  1.63

---

Entry 4:
# YMnCo2

A relaxed structure of YMnCo2 (PBE, the Alexandria database).

The calculation puts the total magnetic moment at 1.548 μB per atom. Its calculated formation energy is 0.202 eV/atom. The space group is P4mm, No. 99.

Unit cell a=3.1139 b=3.1139 c=6.5882 alpha=90.00 beta=90.00 gamma=90.00
Site moments in Bohr magnetons follow the coordinates.
Fractional coordinates of all 4 atoms:
Co (0.0000, 0.0000, 0.0673)  1.47
Co (0.5000, 0.5000, 0.2377)  1.73
Mn (0.0000, 0.0000, 0.4314)  3.21
Y (0.5000, 0.5000, 0.7637)  -0.22

---

Entry 5:
# Y3Mn2Co7

A relaxed structure of Y3Mn2Co7 (PBE, the Alexandria database).

The calculation puts the total magnetic moment at 0.948 μB per atom. Its calculated formation energy is -0.142 eV/atom. The space group is R-3m, No. 166.

Unit cell a=5.1119 b=5.1119 c=8.3776 alpha=72.24 beta=72.24 gamma=60.00
Site moments in Bohr magnetons follow the coordinates.
Fractional coordinates of all 12 atoms:
Y (0.0000, 0.0000, 0.0000)  -0.13
Y (0.8594, 0.8594, 0.4217)  -0.18
Y (0.1406, 0.1406, 0.5783)  -0.18
Mn (0.6665, 0.6665, 0.0006)  2.62
Mn (0.3335, 0.3335, 0.9994)  2.62
Co (0.5000, 0.5000, 0.5000)  1.40
Co (0.9188, 0.4182, 0.2449)  0.92
Co (0.4182, 0.9188, 0.2449)  0.92
Co (0.4182, 0.4182, 0.2449)  0.92
Co (0.0812, 0.5818, 0.7551)  0.92
Co (0.5818, 0.5818, 0.7551)  0.92
Co (0.5818, 0.0812, 0.7551)  0.92

---

Entry 6:
# Y4MnCo

A relaxed structure of Y4MnCo (PBE, the Alexandria database).

The calculation puts the total magnetic moment at 0.949 μB per atom. Its calculated formation energy is 0.964 eV/atom. The space group is F-43m, No. 216.

Unit cell a=6.1565 b=6.1565 c=6.1565 alpha=60.00 beta=60.00 gamma=60.00
Site moments in Bohr magnetons follow the coordinates.
Fractional coordinates of all 6 atoms:
Y (0.8747, 0.3751, 0.3751)  -0.06
Y (0.3751, 0.3751, 0.8747)  -0.06
Y (0.3751, 0.8747, 0.3751)  -0.06
Y (0.3751, 0.3751, 0.3751)  -0.06
Mn (0.0000, 0.0000, 0.0000)  4.16
Co (0.7500, 0.7500, 0.7500)  1.90

---

Entry 7:
# YMnCo2

A relaxed structure of YMnCo2 (PBE, the Alexandria database).

The calculation puts the total magnetic moment at 0.927 μB per atom. Its calculated formation energy is -0.034 eV/atom. The space group is R-3m, No. 166.

Unit cell a=4.0138 b=4.0138 c=5.2834 alpha=67.68 beta=67.68 gamma=60.00
Site moments in Bohr magnetons follow the coordinates.
Fractional coordinates of all 4 atoms:
Co (0.0548, 0.0548, 0.8357)  0.94
Co (0.4452, 0.4452, 0.6643)  0.94
Mn (0.7500, 0.7500, 0.7500)  2.12
Y (0.2500, 0.2500, 0.2500)  -0.19

---

Entry 8:
# YMnCo2

A relaxed structure of YMnCo2 (PBE, the Alexandria database).

The calculation puts the total magnetic moment at 1.531 μB per atom. Its calculated formation energy is 0.521 eV/atom. The space group is R-3m, No. 166.

Unit cell a=8.0236 b=8.0236 c=8.0236 alpha=22.36 beta=22.36 gamma=22.36
Site moments in Bohr magnetons follow the coordinates.
Fractional coordinates of all 4 atoms:
Co (0.9920, 0.9920, 0.9920)  1.40
Co (0.5080, 0.5080, 0.5080)  1.40
Mn (0.2500, 0.2500, 0.2500)  3.49
Y (0.7500, 0.7500, 0.7500)  -0.17

---

Entry 9:
# YMnCo2

A relaxed structure of YMnCo2 (PBE, the Alexandria database).

The calculation puts the total magnetic moment at 1.544 μB per atom. Its calculated formation energy is 0.144 eV/atom. The space group is Cm, No. 8.

Unit cell a=5.2308 b=5.2308 c=4.3541 alpha=65.48 beta=65.48 gamma=35.91
Site moments in Bohr magnetons follow the coordinates.
Fractional coordinates of all 4 atoms:
Co (0.0235, 0.0235, 0.9759)  1.53
Co (0.7388, 0.7388, 0.7612)  1.30
Mn (0.4801, 0.4801, 0.5206)  3.52
Y (0.2576, 0.2576, 0.2423)  -0.20

---

Entry 10:
# YMnCo2

A relaxed structure of YMnCo2 (PBE, the Alexandria database).

The calculation puts the total magnetic moment at 1.451 μB per atom. Its calculated formation energy is 0.137 eV/atom. The space group is Amm2, No. 38.

Unit cell a=3.7817 b=3.6735 c=5.2267 alpha=69.47 beta=90.00 gamma=90.00
Site moments in Bohr magnetons follow the coordinates.
Fractional coordinates of all 4 atoms:
Co (0.0000, 0.1732, 0.0285)  1.12
Co (0.5000, 0.0566, 0.2629)  1.16
Mn (0.0000, 0.4889, 0.3975)  3.64
Y (0.5000, 0.7813, 0.8111)  -0.17

---

Entry 11:
# Y3MnCo3

A relaxed structure of Y3MnCo3 (PBE, the Alexandria database).

The calculation puts the total magnetic moment at 0.517 μB per atom. Its calculated formation energy is -0.134 eV/atom. The space group is C2/m, No. 12.

Unit cell a=4.0215 b=5.6576 c=12.6843 alpha=84.02 beta=80.88 gamma=69.18
Site moments in Bohr magnetons follow the coordinates.
Fractional coordinates of all 14 atoms:
Y (0.5195, 0.3348, 0.6261)  -0.07
Y (0.4805, 0.6652, 0.3739)  -0.07
Y (0.2592, 0.2532, 0.2285)  -0.04
Y (0.7408, 0.7468, 0.7715)  -0.04
Y (0.3916, 0.2922, 0.9247)  0.04
Y (0.6084, 0.7078, 0.0753)  0.04
Mn (0.7583, 0.0659, 0.4174)  3.01
Mn (0.2417, 0.9341, 0.5826)  3.01
Co (0.8809, 0.6951, 0.5431)  0.59
Co (0.1191, 0.3049, 0.4569)  0.59
Co (0.0932, 0.8911, 0.9226)  -0.17
Co (0.9068, 0.1089, 0.0774)  -0.17
Co (0.9492, 0.8676, 0.2341)  0.16
Co (0.0508, 0.1324, 0.7659)  0.16

---

Entry 12:
# Y3MnCo

A relaxed structure of Y3MnCo (PBE, the Alexandria database).

The calculation puts the total magnetic moment at 0.818 μB per atom. Its calculated formation energy is 0.248 eV/atom. The space group is Pm-3m, No. 221.

Unit cell a=5.1679 b=5.1679 c=5.1679 alpha=90.00 beta=90.00 gamma=90.00
Site moments in Bohr magnetons follow the coordinates.
Fractional coordinates of all 5 atoms:
Y (0.0000, 0.5000, 0.0000)  -0.06
Y (0.0000, 0.0000, 0.5000)  -0.05
Y (0.5000, 0.0000, 0.0000)  -0.12
Mn (0.5000, 0.5000, 0.5000)  4.10
Co (0.0000, 0.0000, 0.0000)  0.09

---

Entry 13:
# YMnCo2

A relaxed structure of YMnCo2 (PBE, the Alexandria database).

The calculation puts the total magnetic moment at 1.120 μB per atom. Its calculated formation energy is 0.084 eV/atom. The space group is P4/mmm, No. 123.

Unit cell a=3.0940 b=3.0940 c=6.3001 alpha=90.00 beta=90.00 gamma=89.98
Site moments in Bohr magnetons follow the coordinates.
Fractional coordinates of all 4 atoms:
Co (0.0000, 0.0000, 0.0488)  0.89
Co (0.0000, 0.0000, 0.4512)  0.89
Mn (0.5000, 0.5000, 0.2500)  2.91
Y (0.5000, 0.5000, 0.7500)  -0.16

---

Entry 14:
# YMnCo2

A relaxed structure of YMnCo2 (PBE, the Alexandria database).

The calculation puts the total magnetic moment at 1.405 μB per atom. Its calculated formation energy is 0.264 eV/atom. The space group is F-43m, No. 216.

Unit cell a=4.4167 b=4.4167 c=4.4167 alpha=60.00 beta=60.00 gamma=60.00
Site moments in Bohr magnetons follow the coordinates.
Fractional coordinates of all 4 atoms:
Co (0.0000, 0.0000, 0.0000)  1.28
Co (0.2500, 0.2500, 0.2500)  1.62
Mn (0.5000, 0.5000, 0.5000)  3.02
Y (0.7500, 0.7500, 0.7500)  -0.18